A plane-wave DFT calculation with PBE-GGA was carried out for an optimized crystal structure of AcHf4S8.

```
13
Lattice="3.608 2.083 7.117 -3.608 2.083 7.117 0.000 -4.166 7.117" Properties=species:S:1:pos:R:3 pbc="T T T"
Ac 0.000 0.000 0.000
Hf -3.608 0.000 10.675
Hf -1.804 1.041 3.558
Hf 1.804 1.041 3.558
Hf 0.000 0.000 10.675
S 0.000 0.000 5.028
S -1.772 -1.023 12.198
S 0.000 -2.046 9.152
S -1.772 1.023 9.152
S 1.772 -1.023 12.198
S 0.000 2.046 12.198
S 1.772 1.023 9.152
S 0.000 0.000 16.323
```

- SG = R-3m (166)
- N(E_F) (states/eV per cell) = 4.61
- excess energy over the best structure of this formula in the dataset (meV per atom) = 0
- formation energy from raw total energies (eV per atom) = -1.7052